Entry from Alexandria: a relaxed CdTcOs3 crystal (GGA-PBEsol).

Unit cell a=4.652 b=4.652 c=4.652 alpha=90.00 beta=90.00 gamma=90.00
Positions (direct):
Tc: 0.500 0.500 0.500
Os: 0.000 0.000 0.500
Os: 0.500 0.000 0.000
Os: 0.000 0.500 0.000
Cd: 0.000 0.000 0.000

Summary:
VASP energy = -6.307 eV/atom
density of states at the Fermi level = 5.4 states/eV/f.u.
space group = Pm-3m
magnetization = 0.2777 μB per atom

Entry from Alexandria: a relaxed CdTe2Os crystal (GGA-PBEsol).

Unit cell a=4.916 b=4.916 c=4.916 alpha=60.00 beta=60.00 gamma=60.00
Positions (direct):
Te: 0.000 0.000 0.000
Te: 0.750 0.750 0.750
Cd: 0.500 0.500 0.500
Os: 0.250 0.250 0.250

Summary:
energy relative to the elements, uncorrected = 0.98 eV per atom
density of states at the Fermi level = 3.9 states/eV/f.u.
space group = F-43m
magnetization = 0.0002 μB per atom

Entry from Alexandria: a relaxed CdTeOs2 crystal (GGA-PBEsol).

Unit cell a=4.537 b=4.537 c=4.537 alpha=60.00 beta=60.00 gamma=60.00
Positions (direct):
Cd: 0.500 0.500 0.500
Te: 0.000 0.000 0.000
Os: 0.750 0.750 0.750
Os: 0.250 0.250 0.250

Summary:
energy relative to the elements, uncorrected = 0.79 eV per atom
density of states at the Fermi level = 1.3 states/eV/f.u.
space group = Fm-3m
magnetization = 0.0000 μB per atom

Entry from Alexandria: a relaxed CdTeOs2 crystal (GGA-PBEsol).

Unit cell a=2.893 b=2.893 c=9.400 alpha=90.00 beta=90.00 gamma=118.50
Positions (direct):
Cd: 0.500 0.500 0.000
Os: 0.000 0.000 0.250
Os: 0.000 0.000 0.750
Te: 0.500 0.500 0.500

Summary:
energy relative to the elements, uncorrected = 1.06 eV per atom
density of states at the Fermi level = 4.1 states/eV/f.u.
space group = Cmmm
magnetization = 0.0003 μB per atom

Entry from Alexandria: a relaxed Cd4TeOs crystal (GGA-PBEsol).

Unit cell a=5.517 b=5.517 c=5.517 alpha=60.00 beta=60.00 gamma=60.00
Positions (direct):
Te: 0.000 0.000 0.000
Cd: 0.376 0.376 0.376
Cd: 0.376 0.376 0.873
Cd: 0.873 0.376 0.376
Cd: 0.376 0.873 0.376
Os: 0.750 0.750 0.750

Summary:
energy relative to the elements, uncorrected = 0.66 eV per atom
density of states at the Fermi level = 1.6 states/eV/f.u.
space group = F-43m
magnetization = 0.0000 μB per atom

Entry from Alexandria: a relaxed TlCdOs crystal (GGA-PBEsol).

Unit cell a=2.858 b=4.225 c=5.255 alpha=113.70 beta=105.78 gamma=90.00
Positions (direct):
Tl: 0.328 0.328 0.655
Os: 0.662 0.662 0.323
Cd: 0.011 0.011 0.022

Summary:
VASP energy = -4.504 eV/atom
density of states at the Fermi level = 2.2 states/eV/f.u.
space group = Imm2
magnetization = 0.0007 μB per atom